Entry 1:
Computed, not measured: Ba3Fe2TeO5 at its PBEsol-relaxed geometry at the SCAN level of DFT.

```
Ba3Fe2TeO5
1.0
-0.817 3.488 -1.740
-3.891 -0.838 0.147
-0.723 5.273 10.911
Ba O Fe Te
3 5 2 1
Cartesian
-0.490 3.574 7.395 Ba
0.000 0.000 0.000 Ba
-0.233 1.699 3.516 Ba
-2.354 1.325 -0.796 O
-2.074 0.517 2.010 O
-2.540 3.918 9.048 O
-0.537 2.680 1.067 O
-1.003 6.081 8.105 O
-2.963 5.766 8.394 Fe
-2.468 2.157 0.925 Fe
-2.715 3.962 4.659 Te
```

## Properties
E_form (uncorrected)	-209.80	kJ/mol of atoms

***

Entry 2:
Computed, not measured: TaTl2Pb at its PBEsol-relaxed geometry at the SCAN level of DFT.

```
TaTl2Pb
1.0
-2.408 -1.851 -0.991
3.148 -3.966 -0.240
-0.037 -0.391 5.970
Pb Ta Tl
1 1 2
Cartesian
-2.247 -2.031 4.102 Pb
0.768 -2.837 3.432 Ta
0.158 -3.133 0.318 Tl
-0.462 -0.490 2.038 Tl
```

## Properties
formation energy	0.517	eV/atom

***

Entry 3:
Computed, not measured: Hg2Se at its PBEsol-relaxed geometry at the SCAN level of DFT.

```
Hg2Se
1.0
5.104 0.000 0.000
0.000 5.104 0.000
0.000 0.000 5.951
Hg Se
4 2
Cartesian
0.000 0.000 0.000 Hg
2.552 0.000 1.942 Hg
0.000 2.552 4.009 Hg
2.552 2.552 0.000 Hg
2.552 0.000 4.660 Se
0.000 2.552 1.291 Se
```

## Properties
E_form (uncorrected)	13.24	kJ/mol of atoms

***

Entry 4:
Computed, not measured: SbBrO2F6 at its PBEsol-relaxed geometry at the SCAN level of DFT.

```
SbBrO2F6
1.0
-2.554 2.391 4.790
2.339 -5.496 3.990
6.109 3.944 1.288
F Sb Br O
12 2 2 4
Cartesian
5.055 0.369 4.493 F
5.112 -0.365 8.246 F
2.328 1.974 3.928 F
0.443 -2.746 5.280 F
6.237 -1.406 6.010 F
3.848 1.513 6.634 F
-0.344 2.245 4.058 F
5.451 3.585 4.788 F
2.046 -0.674 3.434 F
0.838 0.470 5.575 F
0.782 1.204 1.822 F
3.565 -1.135 6.140 F
0.866 0.778 3.655 Sb
5.027 0.061 6.413 Sb
1.166 -1.156 7.281 Br
4.727 1.995 2.787 Br
1.919 -0.213 8.347 O
6.269 2.199 2.372 O
3.975 1.053 1.721 O
-0.375 -1.359 7.696 O
```

## Properties
E_form (uncorrected)	-144.01	kJ/mol of atoms

***

Entry 5:
Computed, not measured: SrTaIrSe2 at its PBEsol-relaxed geometry at the SCAN level of DFT.

```
SrTaIrSe2
1.0
-2.380 -0.374 4.626
-3.658 -3.048 -2.128
2.918 -4.307 1.153
Ir Se Sr Ta
1 2 1 1
Cartesian
-1.560 -3.864 1.825 Ir
-1.190 -0.187 2.313 Se
-1.829 -1.524 -1.064 Se
0.000 0.000 0.000 Sr
1.459 -2.153 0.576 Ta
```

## Properties
E_form (uncorrected)	231.84	kJ/mol of atoms

***

Entry 6:
Computed, not measured: LiMn2O3F at its PBEsol-relaxed geometry at the SCAN level of DFT.

```
LiMn2O3F
1.0
-3.113 -3.964 2.595
2.606 -1.331 -5.099
3.307 0.525 4.767
Li O F Mn
2 6 2 4
Cartesian
1.104 -4.993 -0.110 Li
1.761 -2.468 4.534 Li
1.279 -1.364 -0.549 O
0.953 -4.235 -2.013 O
2.618 -2.115 -3.401 O
2.823 -1.217 1.527 O
1.536 -3.443 2.775 O
-0.005 -3.549 0.764 O
0.194 -2.712 5.595 F
1.860 -0.591 4.206 F
1.336 -2.334 1.175 Mn
-0.461 -5.279 -2.424 Mn
1.082 -2.342 -2.280 Mn
-0.199 -4.289 2.455 Mn
```

## Properties
E_form (uncorrected)	-229.95	kJ/mol of atoms

***

Entry 7:
Computed, not measured: K3Br2 at its PBEsol-relaxed geometry at the SCAN level of DFT.

```
K3Br2
1.0
-0.145 -3.205 -3.283
1.062 -4.354 0.994
-10.941 -4.669 1.834
K Br
3 2
Cartesian
-6.624 -9.000 -0.547 K
0.000 0.000 0.000 K
-3.400 -3.228 0.093 K
-1.228 -5.391 -1.101 Br
-8.797 -6.837 0.647 Br
```

## Properties
E_form (uncorrected)	-147.06	kJ/mol of atoms

***

Entry 8:
Computed, not measured: Cd2AgCl at its PBEsol-relaxed geometry at the SCAN level of DFT.

```
Cd2AgCl
1.0
3.389 0.000 0.000
1.694 2.935 0.000
1.694 0.978 8.227
Cd Cl Ag
2 1 1
Cartesian
5.083 2.935 6.208 Cd
1.694 0.978 2.019 Cd
3.389 1.957 4.113 Cl
0.000 0.000 0.000 Ag
```

## Properties
E_form (uncorrected)	-31.79	kJ/mol of atoms